Record 1
This record from Alexandria describes a relaxed structure of K2LaNi. The functional is GGA-PBE.

POSCAR file:
```
K2LaNi
1.0
-0.0648 3.4319 2.8290
-4.0070 1.1828 -1.5267
-2.8867 -3.8447 4.5978
K La Ni
2 1 1
direct
0.0000 0.0000 0.0000
0.5000 0.5000 0.0000
0.5000 0.0000 0.5000
0.0000 0.5000 0.5000
```

Calculated values
Space group: P4/mmm
ΔH_f (0 K), meV/atom: 518
Energy above the most stable polymorph in this dataset, eV per atom: 0.423
DOS at the Fermi energy, states/eV per cell: 3.5

Record 2
This record from Alexandria describes a relaxed structure of K2LaNi. The functional is GGA-PBE.

POSCAR file:
```
K2LaNi
1.0
12.6667 -0.0332 -0.0194
12.1538 3.5684 -0.0194
12.1538 1.7311 3.1204
K La Ni
2 1 1
direct
0.9809 0.9809 0.9809
0.5191 0.5191 0.5191
0.7500 0.7500 0.7500
0.2500 0.2500 0.2500
```

Calculated values
Space group: R-3m
ΔH_f (0 K), meV/atom: 750
Energy above the most stable polymorph in this dataset, eV per atom: 0.656
DOS at the Fermi energy, states/eV per cell: 6.2

- Which formula does entry 2 have?
  K2LaNi

- Among the records above, which one has the highest DOS at the Fermi energy?
  number 2

- Which of these has the highest energy above the most stable polymorph in this dataset?
  number 2

- What is the energy above the most stable polymorph in this dataset in the second record?
  0.656 eV per atom